Entry 1:
A geometry-optimized Pa2HgI6 structure, computed with PBE.

Values from the calculation:
- uncorrected formation energy (eV per atom) = -0.70
- VASP energy (eV per atom) = -3.873

a = 5.439 Å, b = 13.130 Å, c = 13.130 Å
α = 74.48°, β = 101.96°, γ = 101.96°
Site moments in Bohr magnetons follow the coordinates.
Fractional coordinates of all 18 atoms:
Hg (0.750, 0.931, 0.069)  0.00
Pa (0.004, 0.165, 0.344)  1.69
I (0.096, 0.423, 0.269)  -0.03
I (0.586, 0.913, 0.759)  -0.03
I (0.404, 0.731, 0.577)  -0.03
I (0.414, 0.087, 0.241)  -0.03
Pa (0.496, 0.656, 0.835)  1.69
Pa (0.504, 0.344, 0.165)  1.69
I (0.903, 0.906, 0.401)  -0.02
I (0.086, 0.759, 0.913)  -0.03
Pa (0.996, 0.835, 0.656)  1.69
I (0.914, 0.241, 0.087)  -0.03
I (0.596, 0.269, 0.423)  -0.03
I (0.097, 0.094, 0.599)  -0.02
I (0.904, 0.577, 0.731)  -0.03
I (0.597, 0.599, 0.094)  -0.02
I (0.403, 0.401, 0.906)  -0.02
Hg (0.250, 0.069, 0.931)  0.00

***

Entry 2:
A geometry-optimized Th3Sc4Sb4 structure, computed with PBE.

Values from the calculation:
- uncorrected formation energy (eV per atom) = -0.32
- VASP energy (eV per atom) = -6.145

a = 7.439 Å, b = 7.439 Å, c = 7.439 Å
α = 109.47°, β = 109.47°, γ = 109.47°
Fractional coordinates of all 11 atoms:
Sb (0.391, 0.391, 0.391)
Sb (0.000, 0.609, 0.000)
Sc (0.753, 0.753, 0.753)
Sc (0.000, 0.000, 0.247)
Th (0.500, 0.000, 0.500)
Sc (0.000, 0.247, 0.000)
Sc (0.247, 0.000, 0.000)
Th (0.000, 0.500, 0.500)
Sb (0.000, 0.000, 0.609)
Sb (0.609, 0.000, 0.000)
Th (0.500, 0.500, 0.000)

***

Entry 3:
A geometry-optimized TcSb structure, computed with PBE.

Values from the calculation:
- uncorrected formation energy (eV per atom) = 0.27
- VASP energy (eV per atom) = -6.970
- distance to the lowest polymorph of the same formula (eV/f.u.) = 0.429

a = 4.228 Å, b = 4.228 Å, c = 17.858 Å
α = 90.00°, β = 90.00°, γ = 120.00°
Fractional coordinates of all 12 atoms:
Sb (0.333, 0.667, 0.240)
Tc (0.667, 0.333, 0.011)
Tc (0.667, 0.333, 0.343)
Tc (0.000, 0.000, 0.325)
Sb (0.667, 0.333, 0.571)
Sb (0.667, 0.333, 0.760)
Tc (0.333, 0.667, 0.657)
Sb (0.000, 0.000, 0.905)
Tc (0.333, 0.667, 0.989)
Sb (0.333, 0.667, 0.429)
Tc (0.000, 0.000, 0.675)
Sb (0.000, 0.000, 0.095)

***

Entry 4:
A geometry-optimized NaH12O7 structure, computed with PBE.

Values from the calculation:
- VASP energy (eV per atom) = -4.166

a = 6.378 Å, b = 6.378 Å, c = 6.378 Å
α = 52.81°, β = 52.81°, γ = 52.81°
Site moments in Bohr magnetons follow the coordinates.
Fractional coordinates of all 20 atoms:
O (0.909, 0.010, 0.461)  0.14
O (0.091, 0.990, 0.539)  0.14
H (0.532, 0.966, 0.552)  0.00
O (0.010, 0.461, 0.909)  0.14
H (0.524, 0.263, 0.795)  0.00
H (0.468, 0.034, 0.448)  0.00
O (0.539, 0.091, 0.990)  0.14
H (0.476, 0.737, 0.205)  0.00
O (0.990, 0.539, 0.091)  0.14
O (0.461, 0.909, 0.010)  0.14
H (0.795, 0.524, 0.263)  0.00
H (0.552, 0.532, 0.966)  0.00
H (0.263, 0.795, 0.524)  0.00
O (0.500, 0.500, 0.500)  0.02
H (0.966, 0.552, 0.532)  0.00
Na (0.000, 0.000, 0.000)  0.00
H (0.034, 0.448, 0.468)  0.00
H (0.205, 0.476, 0.737)  0.00
H (0.448, 0.468, 0.034)  0.00
H (0.737, 0.205, 0.476)  0.00

***

Entry 5:
A geometry-optimized Er4ThPb2 structure, computed with PBE.

Values from the calculation:
- calculated formation energy (kcal/mol of atoms) = 14.89
- VASP energy (eV per atom) = -4.081

a = 5.582 Å, b = 5.582 Å, c = 9.032 Å
α = 108.00°, β = 108.00°, γ = 90.00°
Fractional coordinates of all 7 atoms:
Er (0.187, 0.187, 0.374)
Pb (0.624, 0.624, 0.247)
Er (0.000, 0.500, 0.000)
Th (0.000, 0.000, 0.000)
Pb (0.376, 0.376, 0.753)
Er (0.813, 0.813, 0.626)
Er (0.500, 0.000, 0.000)